Arrangement A

A plane-wave DFT calculation with PBE-GGA was carried out for crystalline InHW at its relaxed geometry.

D(E_F) in states/eV/atom: 0.462
Theoretical density in g/cm3: 11.08

Unit cell a=17.878 b=3.192 c=3.180 alpha=90.00 beta=98.23 gamma=90.00
Space group Cm (No. 8)
One atom of each set of equivalent atoms:
In 0.000 0.000 0.000 x2
In 0.148 0.000 0.659 x2
H 0.230 0.500 0.164 x2
H 0.383 0.500 0.575 x2
W 0.286 0.500 0.712 x2
W 0.373 0.000 0.260 x2

---

Arrangement B

A plane-wave DFT calculation with PBE-GGA was carried out for crystalline InHW at its relaxed geometry.

D(E_F) in states/eV/atom: 0.435
Theoretical density in g/cm3: 11.48

Unit cell a=3.197 b=4.924 c=11.019 alpha=90.00 beta=91.43 gamma=90.00
Space group C2 (No. 5)
One atom of each set of equivalent atoms:
In 0.188 0.000 0.137 x4
H 0.235 0.581 0.326 x4
W 0.242 0.235 0.403 x4

---

Arrangement C

A plane-wave DFT calculation with PBE-GGA was carried out for crystalline InHW at its relaxed geometry.

D(E_F) in states/eV/atom: 0.475
Theoretical density in g/cm3: 11.41

Unit cell a=18.296 b=3.103 c=3.110 alpha=90.00 beta=98.72 gamma=90.00
Space group C2/m (No. 12)
One atom of each set of equivalent atoms:
In 0.078 0.000 0.167 x4
H 0.201 0.000 0.044 x4
W 0.202 0.500 0.686 x4

---

Arrangement D

A plane-wave DFT calculation with PBE-GGA was carried out for crystalline InHW at its relaxed geometry.

D(E_F) in states/eV/atom: 0.388
Theoretical density in g/cm3: 11.72

Unit cell a=5.424 b=3.113 c=10.215 alpha=90.00 beta=99.97 gamma=90.00
Space group C2/m (No. 12)
One atom of each set of equivalent atoms:
In 0.050 0.000 0.145 x4
H 0.050 0.500 0.654 x4
W 0.201 0.000 0.603 x4

---

The data favor arrangement D; the next most stable structure lies 54 meV/atom above it.

---

Arrangement A

A plane-wave DFT calculation with PBE-GGA was carried out for crystalline InHW at its relaxed geometry.

D(E_F) in states/eV/atom: 0.403
Theoretical density in g/cm3: 11.37

Unit cell a=4.587 b=4.197 c=9.355 alpha=90.00 beta=103.73 gamma=90.00
Space group C2/m (No. 12)
One atom of each set of equivalent atoms:
In 0.002 0.000 0.345 x4
H 0.197 0.500 0.101 x4
W 0.220 0.500 0.907 x4

---

Arrangement B

A plane-wave DFT calculation with PBE-GGA was carried out for crystalline InHW at its relaxed geometry.

D(E_F) in states/eV/atom: 0.400
Theoretical density in g/cm3: 11.41

Unit cell a=4.894 b=3.206 c=11.279 alpha=90.00 beta=99.58 gamma=90.00
Space group C2/m (No. 12)
One atom of each set of equivalent atoms:
In 0.169 0.000 0.363 x4
H 0.162 0.500 0.174 x4
W 0.214 0.500 0.905 x4

---

The data favor arrangement B; the next most stable structure lies 37 meV/atom above it.